{
  "formula": "CaBeCu",
  "functional": "PBE",
  "state": "relaxed",
  "lattice_angstrom": [[-1.549, 1.549, 5.246], [1.549, -1.549, 5.246], [1.549, 1.549, -5.246]],
  "species": ["Ca", "Be", "Cu"],
  "frac_coords": [[0.000, 0.000, 0.000], [0.289, 0.289, 0.000], [0.712, 0.712, 0.000]],
  "polymorph_energy_ev_per_atom": 0.052,
  "mass_density_g_cm3": 3.71
}